The following is a PBE-GGA calculation of a relaxed structure of TbPbNO, from OQMD.

Output
- Size of the total moment: 0.000 μB per atom
- Energy above the lowest structure with this stoichiometry: 0.0000 eV/atom
- Space-group type: Pca2_1 (29)

Lattice parameters (Å, degrees): 5.788 8.363 5.734 90.00 90.00 90.00
Fractional positions:
Pb 0.518 0.131 0.965
O 0.253 0.506 0.715
Tb 0.005 0.379 0.967
Pb 0.018 0.869 0.965
N 0.085 0.879 0.555
Tb 0.495 0.379 0.467
O 0.747 0.494 0.215
N 0.915 0.121 0.055
O 0.753 0.494 0.715
Pb 0.982 0.131 0.465
Tb 0.505 0.621 0.967
N 0.585 0.121 0.555
O 0.247 0.506 0.215
N 0.415 0.879 0.055
Pb 0.482 0.869 0.465
Tb 0.995 0.621 0.467



The following is a PBE-GGA calculation of a relaxed structure of TbPbNO, from OQMD.

Output
- Size of the total moment: 0.000 μB per atom
- Energy above the lowest structure with this stoichiometry: 0.5763 eV/atom
- Space-group type: P4/nmm (129)

Lattice parameters (Å, degrees): 4.393 4.393 8.519 90.00 90.00 90.00
Fractional positions:
Tb 0.500 0.500 0.500
O 0.000 0.000 0.000
Tb 0.000 0.000 0.500
O 0.500 0.500 0.000
N 0.000 0.500 0.421
Pb 0.500 0.000 0.117
N 0.500 0.000 0.579
Pb 0.000 0.500 0.883



The following is a PBE-GGA calculation of a relaxed structure of TbPbNO, from OQMD.

Output
- Size of the total moment: 0.000 μB per atom
- Energy above the lowest structure with this stoichiometry: 0.1421 eV/atom
- Space-group type: Pmc2_1 (26)

Lattice parameters (Å, degrees): 3.666 6.020 7.369 90.00 90.00 90.00
Fractional positions:
Pb 0.500 0.000 0.160
Tb 0.000 0.009 0.627
Tb 0.000 0.509 0.373
N 0.000 0.388 0.664
O 0.500 0.857 0.717
N 0.000 0.888 0.336
Pb 0.500 0.500 0.840
O 0.500 0.357 0.283



The following is a PBE-GGA calculation of a relaxed structure of ZrPbNO, from OQMD.

Output
- Size of the total moment: 0.000 μB per atom
- Energy above the lowest structure with this stoichiometry: 0.0000 eV/atom
- Space-group type: Pmc2_1 (26)

Lattice parameters (Å, degrees): 3.643 5.519 7.326 90.00 90.00 90.00
Fractional positions:
N 0.000 0.884 0.373
O 0.500 0.396 0.273
Pb 0.500 0.966 0.125
O 0.500 0.896 0.727
Pb 0.500 0.466 0.875
N 0.000 0.384 0.627
Zr 0.000 0.008 0.636
Zr 0.000 0.508 0.364



The following is a PBE-GGA calculation of a relaxed structure of ZrPbNO, from OQMD.

Output
- Size of the total moment: 0.010 μB per atom
- Energy above the lowest structure with this stoichiometry: 0.3125 eV/atom
- Space-group type: P4/nmm (129)

Lattice parameters (Å, degrees): 4.158 4.158 8.730 90.00 90.00 90.00
Fractional positions:
Pb 0.500 0.000 0.130
Zr 0.500 0.500 0.500
Pb 0.000 0.500 0.870
N 0.000 0.500 0.425
N 0.500 0.000 0.575
Zr 0.000 0.000 0.500
O 0.000 0.000 0.000
O 0.500 0.500 0.000



The following is a PBE-GGA calculation of a relaxed structure of ZrPbNO, from OQMD.

Output
- Size of the total moment: 0.000 μB per atom
- Energy above the lowest structure with this stoichiometry: 0.1864 eV/atom
- Space-group type: Pca2_1 (29)

Lattice parameters (Å, degrees): 5.644 5.721 8.053 90.00 90.00 90.00
Fractional positions:
Pb 0.006 0.008 0.142
Zr 0.011 0.068 0.641
O 0.706 0.175 0.491
Zr 0.011 0.568 0.359
N 0.480 0.090 0.129
O 0.206 0.825 0.509
N 0.480 0.590 0.871
Pb 0.506 0.992 0.858
Pb 0.506 0.492 0.142
N 0.980 0.410 0.129
O 0.706 0.675 0.509
Zr 0.511 0.932 0.359
Zr 0.511 0.432 0.641
N 0.980 0.910 0.871
O 0.206 0.325 0.491
Pb 0.006 0.508 0.858



Which of these has the highest size of the total moment?
number 5